(1)
An optimized crystal structure of PrSb2Pb. Source: the Alexandria database, functional PBE.

Output
Space group ... P4/nmm (129)
Polymorph energy (0 for the lowest one) ... 0 meV per atom

a b c (Å): 4.539 4.539 11.722
angles (deg): 90.00 90.00 90.00
Fractional coordinates of all 8 atoms:
1 Pr 0.250 0.250 0.213
2 Pr 0.750 0.750 0.787
3 Sb 0.250 0.250 0.727
4 Sb 0.250 0.750 0.000
5 Sb 0.750 0.250 0.000
6 Sb 0.750 0.750 0.273
7 Pb 0.250 0.750 0.500
8 Pb 0.750 0.250 0.500

=====

(2)
An optimized crystal structure of Pr10Sb3Pb3. Source: the Alexandria database, functional PBE.

Output
Space group ... P-62m (189)
VASP energy ... -0.1913 Ha/atom

a b c (Å): 9.464 9.464 6.735
angles (deg): 90.00 90.00 120.00
Fractional coordinates of all 16 atoms:
1 Pr 0.000 0.246 0.000
2 Pr 0.000 0.755 0.500
3 Pr 0.245 0.245 0.500
4 Pr 0.246 0.000 0.000
5 Pr 0.333 0.667 0.254
6 Pr 0.333 0.667 0.746
7 Pr 0.667 0.333 0.254
8 Pr 0.667 0.333 0.746
9 Pr 0.754 0.754 0.000
10 Pr 0.755 0.000 0.500
11 Sb 0.000 0.387 0.500
12 Sb 0.387 0.000 0.500
13 Sb 0.613 0.613 0.500
14 Pb 0.000 0.610 0.000
15 Pb 0.390 0.390 0.000
16 Pb 0.610 0.000 0.000

=====

(3)
An optimized crystal structure of Pr5Sb2Pb. Source: the Alexandria database, functional PBE.

Output
Space group ... Fmmm (69)
VASP energy ... -0.1868 Ha/atom

a b c (Å): 7.225 6.929 6.886
angles (deg): 63.06 58.76 58.17
Fractional coordinates of all 8 atoms:
1 Pr 0.000 0.000 0.000
2 Pr 0.000 0.000 0.500
3 Pr 0.000 0.500 0.000
4 Pr 0.500 0.000 0.500
5 Pr 0.500 0.500 0.000
6 Sb 0.000 0.500 0.500
7 Sb 0.500 0.000 0.000
8 Pb 0.500 0.500 0.500

=====

(4)
An optimized crystal structure of Pr4SbPb2. Source: the Alexandria database, functional PBE.

Output
Space group ... P2_1/m (11)
Polymorph energy (0 for the lowest one) ... 198 meV per atom

a b c (Å): 6.075 6.714 11.185
angles (deg): 90.00 101.14 90.00
Fractional coordinates of all 14 atoms:
1 Pr 0.111 0.250 0.119
2 Pr 0.220 0.750 0.447
3 Pr 0.347 0.013 0.735
4 Pr 0.347 0.487 0.735
5 Pr 0.653 0.513 0.265
6 Pr 0.653 0.987 0.265
7 Pr 0.780 0.250 0.553
8 Pr 0.889 0.750 0.881
9 Sb 0.088 0.750 0.169
10 Sb 0.912 0.250 0.831
11 Pb 0.236 0.250 0.436
12 Pb 0.439 0.750 0.998
13 Pb 0.561 0.250 0.002
14 Pb 0.764 0.750 0.564

=====

(5)
An optimized crystal structure of PrSbPb2. Source: the Alexandria database, functional PBE.

Output
Space group ... R-3m (166)
Polymorph energy (0 for the lowest one) ... 607 meV per atom

a b c (Å): 11.414 11.414 11.414
angles (deg): 18.84 18.84 18.84
Fractional coordinates of all 4 atoms:
1 Pr 0.000 0.000 0.000
2 Sb 0.500 0.500 0.500
3 Pb 0.097 0.097 0.097
4 Pb 0.903 0.903 0.903

=====

(6)
An optimized crystal structure of PrSb2Pb. Source: the Alexandria database, functional PBE.

Output
Space group ... P4/mmm (123)
Polymorph energy (0 for the lowest one) ... 42 meV per atom

a b c (Å): 5.207 5.207 4.338
angles (deg): 90.00 90.00 90.00
Fractional coordinates of all 4 atoms:
1 Pr 0.000 0.000 0.000
2 Sb 0.000 0.500 0.500
3 Sb 0.500 0.000 0.500
4 Pb 0.500 0.500 0.000

=====

(7)
An optimized crystal structure of Pr5SbPb2. Source: the Alexandria database, functional PBE.

Output
Space group ... I4/mcm (140)
VASP energy ... -0.1853 Ha/atom

a b c (Å): 9.353 9.353 9.353
angles (deg): 125.71 125.71 80.37
Fractional coordinates of all 16 atoms:
1 Pr 0.000 0.000 0.000
2 Pr 0.008 0.508 0.820
3 Pr 0.188 0.008 0.500
4 Pr 0.312 0.812 0.820
5 Pr 0.492 0.312 0.500
6 Pr 0.500 0.500 0.000
7 Pr 0.508 0.688 0.500
8 Pr 0.688 0.188 0.180
9 Pr 0.812 0.992 0.500
10 Pr 0.992 0.492 0.180
11 Sb 0.250 0.250 0.000
12 Sb 0.750 0.750 0.000
13 Pb 0.140 0.360 0.500
14 Pb 0.360 0.860 0.220
15 Pb 0.640 0.140 0.780
16 Pb 0.860 0.640 0.500

=====

(8)
An optimized crystal structure of Pr8Sb2Pb. Source: the Alexandria database, functional PBE.

Output
Space group ... C2/m (12)
VASP energy ... -0.1846 Ha/atom

a b c (Å): 10.258 10.258 7.671
angles (deg): 98.86 98.86 28.13
Fractional coordinates of all 11 atoms:
1 Pr 0.017 0.017 0.252
2 Pr 0.217 0.217 0.853
3 Pr 0.335 0.335 0.478
4 Pr 0.403 0.403 0.007
5 Pr 0.597 0.597 0.993
6 Pr 0.665 0.665 0.522
7 Pr 0.783 0.783 0.147
8 Pr 0.983 0.983 0.748
9 Sb 0.181 0.181 0.261
10 Sb 0.819 0.819 0.739
11 Pb 0.500 0.500 0.500

=====

Number 1: total moment 0.00 μB/atom. Number 2: total moment 0.00 μB/atom. Number 3: total moment 0.00 μB/atom. Number 4: total moment 0.00 μB/atom. Number 5: total moment 0.00 μB/atom. Number 6: total moment 0.00 μB/atom. Number 7: total moment 0.32 μB/atom. Number 8: total moment 0.00 μB/atom.